1.
Na5B6C4 | GGA-PBE | optimized geometry

For the formation energy, the calculation gives 1.3 eV per formula unit. For the final energy, the calculation gives -82.3 eV/f.u.

Lattice parameters (Å, degrees): 4.952 7.580 8.951 75.95 73.95 70.94
Element x y z (fractional)
Na  0.000  0.000  0.000
Na  0.000  0.500  0.500
Na  0.199  0.100  0.500
Na  0.202  0.599  0.998
Na  0.398  0.199  0.002
Na  0.399  0.700  0.502
Na  0.601  0.300  0.498
Na  0.602  0.801  0.998
Na  0.798  0.401  0.002
Na  0.801  0.900  0.500
B  0.016  0.850  0.750
B  0.165  0.750  0.250
B  0.234  0.450  0.750
B  0.358  0.361  0.250
B  0.368  0.850  0.750
B  0.430  0.062  0.750
B  0.570  0.938  0.250
B  0.632  0.150  0.250
B  0.642  0.639  0.750
B  0.766  0.550  0.250
B  0.835  0.250  0.750
B  0.984  0.150  0.250
C  0.032  0.352  0.250
C  0.168  0.256  0.750
C  0.234  0.947  0.250
C  0.426  0.555  0.251
C  0.574  0.445  0.749
C  0.766  0.053  0.750
C  0.832  0.744  0.250
C  0.968  0.648  0.750


2.
Na2B3C | GGA-PBE | optimized geometry

For the formation energy, the calculation gives 1.0 eV per formula unit. For the final energy, the calculation gives -30.9 eV/f.u.

Lattice parameters (Å, degrees): 9.079 9.079 10.360 106.62 106.62 18.04
Element x y z (fractional)
Na  0.000  0.000  0.000
Na  0.000  0.000  0.499
Na  0.248  0.248  0.623
Na  0.249  0.249  0.124
Na  0.499  0.499  0.248
Na  0.503  0.503  0.752
Na  0.747  0.747  0.873
Na  0.750  0.750  0.374
B  0.124  0.124  0.392
B  0.124  0.124  0.911
B  0.125  0.125  0.730
B  0.374  0.374  0.008
B  0.374  0.374  0.523
B  0.375  0.375  0.362
B  0.375  0.375  0.843
B  0.624  0.624  0.152
B  0.625  0.625  0.630
B  0.874  0.874  0.102
B  0.874  0.874  0.265
B  0.875  0.875  0.620
C  0.124  0.124  0.229
C  0.624  0.624  0.987
C  0.625  0.625  0.470
C  0.876  0.876  0.771


3.
Na2BC2O6 | GGA-PBE | optimized geometry

The formation energy (no corrections) is -1.21 eV per atom. For the final energy, the calculation gives -70.8 eV/f.u.

Lattice parameters (Å, degrees): 5.619 5.619 5.208 109.89 109.89 47.14
Element x y z (fractional)
Na  0.203  0.203  0.193
Na  0.797  0.797  0.807
B  0.000  0.000  0.500
C  0.478  0.478  0.733
C  0.522  0.522  0.267
O  0.195  0.704  0.257
O  0.296  0.805  0.743
O  0.346  0.346  0.667
O  0.654  0.654  0.333
O  0.704  0.195  0.257
O  0.805  0.296  0.743


4.
NaTa2BC | GGA-PBE | optimized geometry

For the formation energy, the calculation gives 16.6 eV per formula unit. For the final energy, the calculation gives -24.3 eV/f.u.

Lattice parameters (Å, degrees): 4.630 4.630 3.701 90.00 90.00 90.00
Element x y z (fractional)
Na  0.000  0.000  0.000
Ta  0.000  0.500  0.000
Ta  0.500  0.000  0.000
B  0.500  0.500  0.500
C  0.000  0.000  0.500